{"formula": "SmY2Al3Ni3", "functional": "PBE", "state": "optimized geometry", "cell": [[3.8400, 0.0000, 0.0000], [0.0000, 6.0972, 3.5550], [0.0000, -6.0972, 3.5550]], "species": ["Sm", "Y", "Y", "Al", "Al", "Al", "Ni", "Ni", "Ni"], "frac_coords": [[0.0000, 0.0000, 0.0000], [0.0000, 0.4193, 0.8361], [0.0000, 0.8361, 0.4193], [0.5000, 0.1846, 0.4232], [0.5000, 0.4232, 0.1846], [0.5000, 0.6506, 0.6506], [0.0000, 0.4189, 0.4189], [0.5000, 0.0865, 0.7512], [0.5000, 0.7512, 0.0865]], "spacegroup": "No. 38", "magmom_total_mub_per_atom": 0.00, "energy_ev_per_cell": -50.8}

{"formula": "HoLuSnC", "functional": "PBE", "state": "optimized geometry", "cell": [[3.5672, 0.0000, 0.0000], [-1.7836, 3.0893, 0.0000], [0.0000, 0.0000, 15.6227]], "species": ["Ho", "Ho", "Lu", "Lu", "Sn", "Sn", "C", "C"], "frac_coords": [[0.0000, 0.0000, 0.1668], [0.0000, 0.0000, 0.8332], [0.3333, 0.6667, 0.3346], [0.3333, 0.6667, 0.6654], [0.0000, 0.0000, 0.5000], [0.3333, 0.6667, 0.0000], [0.6667, 0.3333, 0.2527], [0.6667, 0.3333, 0.7473]], "spacegroup": "No. 187", "magmom_total_mub_per_atom": 0.00, "energy_ev_per_cell": -49.3}

{"formula": "Zr2Br5Cl", "functional": "PBE", "state": "optimized geometry", "cell": [[6.2487, 0.0000, 0.0000], [0.0000, 6.2045, 3.5337], [0.0000, -6.2045, 3.5337]], "species": ["Zr", "Zr", "Br", "Br", "Br", "Br", "Br", "Cl"], "frac_coords": [[0.2439, 0.0000, 0.0000], [0.7561, 0.0000, 0.0000], [0.0000, 0.0036, 0.6887], [0.0000, 0.6887, 0.0036], [0.5000, 0.0096, 0.3147], [0.5000, 0.3147, 0.0096], [0.5000, 0.6888, 0.6888], [0.0000, 0.2917, 0.2917]], "spacegroup": "No. 38", "magmom_total_mub_per_atom": 0.00, "energy_ev_per_cell": -38.8}

{"formula": "NiGeIr", "functional": "PBE", "state": "optimized geometry", "cell": [[0.0000, 2.8187, 2.8187], [2.8187, 0.0000, 2.8187], [2.8187, 2.8187, 0.0000]], "species": ["Ni", "Ge", "Ir"], "frac_coords": [[0.0000, 0.0000, 0.0000], [0.7500, 0.7500, 0.7500], [0.5000, 0.5000, 0.5000]], "spacegroup": "No. 216", "magmom_total_mub_per_atom": 0.00, "energy_ev_per_cell": -19.6}